[1]
# MnZnTc2 PBE relaxed
data_MnZnTc2
_cell_length_a 3.709
_cell_length_b 3.709
_cell_length_c 4.062
_cell_angle_alpha 90.00
_cell_angle_beta 90.00
_cell_angle_gamma 90.00
_symmetry_space_group_name_H-M 'P 1'
_symmetry_Int_Tables_number 1
loop_
_symmetry_equiv_pos_as_xyz
'x,y,z'
loop_
_atom_site_label
_atom_site_type_symbol
_atom_site_fract_x
_atom_site_fract_y
_atom_site_fract_z
Mn1 Mn 0.000 0.000 0.000
Zn1 Zn 0.500 0.500 0.000
Tc1 Tc 0.000 0.500 0.500
Tc2 Tc 0.500 0.000 0.500
# - SG = P4/mmm
# - energy relative to the elements (eV/atom) = 0.1357
# - mass density (g/cm³) = 9.4



[2]
# ZrMnTc2 PBE relaxed
data_ZrMnTc2
_cell_length_a 9.475
_cell_length_b 2.991
_cell_length_c 4.704
_cell_angle_alpha 90.00
_cell_angle_beta 110.60
_cell_angle_gamma 90.00
_symmetry_space_group_name_H-M 'P 1'
_symmetry_Int_Tables_number 1
loop_
_symmetry_equiv_pos_as_xyz
'x,y,z'
loop_
_atom_site_label
_atom_site_type_symbol
_atom_site_fract_x
_atom_site_fract_y
_atom_site_fract_z
Zr1 Zr 0.000 0.000 0.000
Zr2 Zr 0.500 0.500 0.000
Mn1 Mn 0.000 0.500 0.500
Mn2 Mn 0.500 0.000 0.500
Tc1 Tc 0.225 0.000 0.709
Tc2 Tc 0.275 0.500 0.291
Tc3 Tc 0.725 0.500 0.709
Tc4 Tc 0.775 0.000 0.291
# - SG = C2/m
# - energy relative to the elements (eV/atom) = 0.0486
# - mass density (g/cm³) = 9.1



[3]
# ZrMnTc2 PBE relaxed
data_ZrMnTc2
_cell_length_a 2.781
_cell_length_b 2.781
_cell_length_c 7.950
_cell_angle_alpha 90.00
_cell_angle_beta 90.00
_cell_angle_gamma 90.00
_symmetry_space_group_name_H-M 'P 1'
_symmetry_Int_Tables_number 1
loop_
_symmetry_equiv_pos_as_xyz
'x,y,z'
loop_
_atom_site_label
_atom_site_type_symbol
_atom_site_fract_x
_atom_site_fract_y
_atom_site_fract_z
Zr1 Zr 0.000 0.000 0.000
Mn1 Mn 0.000 0.000 0.500
Tc1 Tc 0.500 0.500 0.293
Tc2 Tc 0.500 0.500 0.707
# - SG = P4/mmm
# - energy relative to the elements (eV/atom) = 0.1151
# - mass density (g/cm³) = 9.2